Entry 1:
Na2Mg3Hg4: optimized geometry, PBE.

```
Na2Mg3Hg4
1.0
4.3376 -2.4937 0.0000
4.3376 2.4937 0.0000
-0.0821 0.0000 9.6991
Na Mg Hg
2 3 4
Cartesian
1.4439 0.0000 2.1406 Na
7.1492 0.0000 7.5584 Na
1.3848 0.0000 5.6411 Mg
4.3376 0.0000 0.0000 Mg
7.2083 0.0000 4.0580 Mg
1.3602 0.0000 8.7226 Hg
4.2581 0.0000 6.4159 Hg
4.3350 0.0000 3.2832 Hg
7.2329 0.0000 0.9765 Hg
```

Calculated values
DFT formation energy	-0.179	eV per atom
energy relative to the lowest polymorph listed for this composition	7	meV/atom
DFT total energy	-1.1382	eV per atom

***

Entry 2:
NaMgHg2: optimized geometry, PBE.

```
NaMgHg2
1.0
1.7664 1.0198 9.2968
-1.7664 1.0198 9.2968
0.0000 -2.0396 9.2968
Na Mg Hg
1 1 2
Cartesian
0.0000 0.0000 0.0000 Na
0.0000 0.0000 23.2440 Mg
0.0000 0.0000 11.7687 Hg
0.0000 0.0000 16.1256 Hg
```

Calculated values
DFT formation energy	-0.141	eV per atom
DFT total energy	-1.0200	eV per atom

***

Entry 3:
Na4MgHg7: optimized geometry, PBE.

```
Na4MgHg7
1.0
7.7567 -2.7510 0.0000
7.7567 2.7510 0.0000
-5.0414 0.0000 7.4998
Na Mg Hg
4 1 7
Cartesian
-0.1421 0.0000 1.7402 Na
-0.0729 0.0000 5.5551 Na
10.5448 0.0000 1.9447 Na
10.6140 0.0000 5.7596 Na
5.2359 0.0000 3.7499 Mg
-2.5207 0.0000 3.7499 Hg
2.7874 0.0000 0.3666 Hg
2.3429 0.0000 3.6432 Hg
6.1633 0.0000 0.9347 Hg
4.3086 0.0000 6.5650 Hg
8.1290 0.0000 3.8566 Hg
7.6845 0.0000 7.1331 Hg
```

Calculated values
DFT formation energy	-0.177	eV per atom
DFT total energy	-0.9256	eV per atom